[1]
Below is a geometry-optimized TlPtO3 structure, with properties calculated at the PBE level.

```
TlPtO3
1.0
4.015 0.000 0.000
0.000 4.015 0.000
0.000 0.000 4.015
Tl Pt O
1 1 3
direct
0.000 0.000 0.000
0.500 0.500 0.500
0.000 0.500 0.500
0.500 0.000 0.500
0.500 0.500 0.000
```

Computed properties:
total magnetic moment: 0.00 μB/atom
ΔE_f (raw): -0.227 eV per atom
mass density: 11.484 Mg/m³
uncorrected energy: -4.88 eV/atom
V: 64.7 Å³ per cell

[2]
Below is a geometry-optimized Pu9Bi11Pd4 structure, with properties calculated at the PBE level.

```
Pu9Bi11Pd4
1.0
7.854 -11.853 0.000
7.854 11.853 0.000
0.000 0.000 3.418
Pu Bi Pd
9 11 4
direct
0.000 0.000 0.000
0.130 0.651 0.000
0.283 0.438 0.000
0.349 0.870 0.000
0.438 0.283 0.000
0.562 0.717 0.000
0.651 0.130 0.000
0.717 0.562 0.000
0.870 0.349 0.000
0.081 0.418 0.500
0.132 0.868 0.500
0.200 0.200 0.500
0.338 0.662 0.500
0.418 0.081 0.500
0.500 0.500 0.500
0.582 0.919 0.500
0.662 0.338 0.500
0.800 0.800 0.500
0.868 0.132 0.500
0.919 0.582 0.500
0.050 0.242 0.000
0.242 0.050 0.000
0.758 0.950 0.000
0.950 0.758 0.000
```

Computed properties:
total magnetic moment: 2.19 μB/atom
mass density: 12.840 Mg/m³
uncorrected energy: -8.34 eV/atom
energy of formation: -0.3185 eV per atom
V: 636.3 Å³ per cell

[3]
Below is a geometry-optimized LiHoScPb structure, with properties calculated at the PBE level.

```
LiHoScPb
1.0
0.000 3.624 3.624
3.624 0.000 3.624
3.624 3.624 0.000
Li Ho Sc Pb
1 1 1 1
direct
0.000 0.000 0.000
0.250 0.250 0.250
0.750 0.750 0.750
0.500 0.500 0.500
```

Computed properties:
total magnetic moment: 0.00 μB/atom
mass density: 7.398 Mg/m³
uncorrected energy: -4.37 eV/atom
energy of formation: -0.2344 eV per atom
V: 95.2 Å³ per cell

[4]
Below is a geometry-optimized SrMnW structure, with properties calculated at the PBE level.

```
SrMnW
1.0
0.000 3.492 3.492
3.492 0.000 3.492
3.492 3.492 0.000
Sr Mn W
1 1 1
direct
0.000 0.000 0.000
0.250 0.250 0.250
0.750 0.750 0.750
```

Computed properties:
total magnetic moment: 2.44 μB/atom
offset from the most stable computed form: 1824.1 meV/atom
mass density: 6.364 Mg/m³
uncorrected energy: -5.41 eV/atom
energy of formation: 2.5275 eV per atom
V: 85.2 Å³ per cell

[5]
Below is a geometry-optimized KNd4I8 structure, with properties calculated at the PBE level.

```
KNd4I8
1.0
4.136 2.388 9.638
-4.136 2.388 9.638
0.000 -4.776 9.638
K Nd I
1 4 8
direct
0.000 0.000 0.000
0.000 0.000 0.500
0.000 0.500 0.000
0.500 0.000 0.000
0.500 0.500 0.500
0.241 0.241 0.241
0.243 0.741 0.741
0.259 0.259 0.757
0.259 0.757 0.259
0.741 0.243 0.741
0.741 0.741 0.243
0.757 0.259 0.259
0.759 0.759 0.759
```

Computed properties:
total magnetic moment: 0.00 μB/atom
ΔE_f (raw): -1.253 eV per atom
mass density: 4.743 Mg/m³
uncorrected energy: -3.76 eV/atom
V: 571.2 Å³ per cell

[6]
Below is a geometry-optimized CaHoNiRh structure, with properties calculated at the PBE level.

```
CaHoNiRh
1.0
0.000 3.400 3.400
3.400 0.000 3.400
3.400 3.400 0.000
Ca Ho Ni Rh
1 1 1 1
direct
0.000 0.000 0.000
0.500 0.500 0.500
0.750 0.750 0.750
0.250 0.250 0.250
```

Computed properties:
total magnetic moment: 0.00 μB/atom
mass density: 7.741 Mg/m³
uncorrected energy: -5.34 eV/atom
energy of formation: -0.4075 eV per atom
V: 78.6 Å³ per cell

[7]
Below is a geometry-optimized SrScPb2 structure, with properties calculated at the PBE level.

```
SrScPb2
1.0
1.930 1.114 9.568
-1.930 1.114 9.568
0.000 -2.228 9.568
Sr Sc Pb
1 1 2
direct
0.000 0.000 0.000
0.500 0.500 0.500
0.242 0.242 0.242
0.758 0.758 0.758
```

Computed properties:
total magnetic moment: 0.00 μB/atom
mass density: 7.357 Mg/m³
uncorrected energy: -4.16 eV/atom
energy of formation: -0.2999 eV per atom
V: 123.5 Å³ per cell